1.
VASP calculation (PBE) on a relaxed BeTlSbF6 crystal.

Properties
The calculation puts the uncorrected formation energy at -2.52 eV/atom. Its crystal system is trigonal. The value obtained for the total energy is -4.901 eV/atom.

a = 6.0323 Å, b = 6.0323 Å, c = 5.7759 Å
α = 90.00°, β = 90.00°, γ = 120.00°
Last column: nearest neighbours and their distance in Å.
Space group P3 (No. 143)
Inequivalent atoms, fractional coordinates:
1 Be 0.0000 0.0000 0.0000 [1 per cell]  3 F 1.48
2 Tl 0.6667 0.3333 0.3269 [1 per cell]  6 F 2.74-2.92
3 Sb 0.3333 0.6667 0.8114 [1 per cell]  3 F 1.98
4 F 0.0642 0.6553 0.6077 [3 per cell]  1 Sb 1.98
5 F 0.2524 0.0135 0.0086 [3 per cell]  1 Be 1.48

2.
VASP calculation (PBE) on a relaxed ScBeF2 crystal.

Properties
The calculation puts the uncorrected formation energy at -1.71 eV/atom. Its crystal system is trigonal. The value obtained for the total energy is -5.158 eV/atom.

a = 2.8012 Å, b = 2.8012 Å, c = 27.5346 Å
α = 90.00°, β = 90.00°, γ = 120.00°
Last column: nearest neighbours and their distance in Å.
Space group R-3m (No. 166, hexagonal axes)
Inequivalent atoms, fractional coordinates:
1 Sc 0.0000 0.0000 0.0000 [3 per cell]  6 Sc 2.80
2 Be 0.0000 0.0000 0.5000 [3 per cell]  6 F 1.83
3 F 0.0000 0.0000 0.1353 [6 per cell]  3 Be 1.83

3.
VASP calculation (PBE) on a relaxed ScBe2F crystal.

Properties
The calculation puts the uncorrected formation energy at -0.20 eV/atom. Its crystal system is tetragonal. The value obtained for the total energy is -4.116 eV/atom.

a = 5.5159 Å, b = 5.5159 Å, c = 7.6426 Å
α = 90.00°, β = 90.00°, γ = 90.00°
Last column: nearest neighbours and their distance in Å.
Space group I-42d (No. 122)
Inequivalent atoms, fractional coordinates:
1 Sc 0.0000 0.0000 0.0000 [4 per cell]  8 Be 2.87-3.21
2 Be 0.0777 0.7500 0.6250 [8 per cell]  2 F 1.73
3 F 0.0000 0.0000 0.5000 [4 per cell]  4 Be 1.73

4.
VASP calculation (PBE) on a relaxed Sc2BeF crystal.

Properties
The calculation puts the uncorrected formation energy at -0.62 eV/atom. Its crystal system is cubic. The value obtained for the total energy is -5.182 eV/atom.

a = 6.3525 Å, b = 6.3525 Å, c = 6.3525 Å
α = 90.00°, β = 90.00°, γ = 90.00°
Last column: nearest neighbours and their distance in Å.
Space group Fm-3m (No. 225)
Inequivalent atoms, fractional coordinates:
1 Sc 0.2500 0.2500 0.2500 [8 per cell]  4 F 2.75, 4 Be 2.75
2 Be 0.0000 0.0000 0.0000 [4 per cell]  8 Sc 2.75
3 F 0.0000 0.0000 0.5000 [4 per cell]  8 Sc 2.75